Record 1
Here is an optimized crystal structure of TbTm4Pd5 from Alexandria. Energies are from PBE.

## Properties
- formation enthalpy at 0 K (eV per atom) = -0.92
- SG = No. 123

Cell lengths 3.4473, 3.4473, 17.6597 Å; angles 90.00, 90.00, 90.00 degrees
Closest atoms and distances in Å follow each position.
Atoms (fractional coordinates):
Tb 0.0000 0.0000 0.0000  8 Pd 3.06
Tm 0.0000 0.0000 0.2027  8 Pd 2.98-3.00
Tm 0.0000 0.0000 0.4010  8 Pd 3.00
Tm 0.0000 0.0000 0.5990  8 Pd 3.00
Tm 0.0000 0.0000 0.7973  8 Pd 2.98-3.00
Pd 0.5000 0.5000 0.1052  4 Tm 2.98, 4 Tb 3.06
Pd 0.5000 0.5000 0.3018  8 Tm 3.00
Pd 0.5000 0.5000 0.5000  8 Tm 3.00
Pd 0.5000 0.5000 0.6982  8 Tm 3.00
Pd 0.5000 0.5000 0.8948  4 Tm 2.98, 4 Tb 3.06

---

Record 2
Here is an optimized crystal structure of Tb4Tm3Pd4 from Alexandria. Energies are from PBE.

## Properties
- formation enthalpy at 0 K (eV per atom) = -0.59
- SG = No. 71

Cell lengths 3.8074, 9.1541, 9.3292 Å; angles 119.38, 101.77, 90.00 degrees
Closest atoms and distances in Å follow each position.
Atoms (fractional coordinates):
Tb 0.3390 0.1532 0.6779  4 Pd 2.87-3.20
Tb 0.6610 0.4752 0.3221  4 Pd 2.87-3.20
Tb 0.6610 0.8468 0.3221  4 Pd 2.87-3.20
Tb 0.3390 0.5248 0.6779  4 Pd 2.87-3.20
Tm 0.1065 0.1065 0.2131  6 Pd 2.96-2.97
Tm 0.8935 0.8935 0.7869  6 Pd 2.96-2.97
Tm 0.0000 0.5000 0.0000  6 Pd 3.58-3.95, 8 Tb 3.60, 2 Tm 3.81
Pd 0.2502 0.7502 0.5003  6 Tb 2.92-3.20, 2 Tm 2.96
Pd 0.7498 0.2498 0.4997  6 Tb 2.92-3.20, 2 Tm 2.96
Pd 0.5000 0.8318 0.0000  2 Tb 2.87, 4 Tm 2.97, 1 Pd 3.08
Pd 0.5000 0.1682 0.0000  2 Tb 2.87, 4 Tm 2.97, 1 Pd 3.08

---

Record 3
Here is an optimized crystal structure of Tb3TmPd2 from Alexandria. Energies are from PBE.

## Properties
- formation enthalpy at 0 K (eV per atom) = -0.59
- SG = No. 26

Cell lengths 3.7601, 8.4959, 9.7990 Å; angles 90.00, 90.00, 90.00 degrees
Closest atoms and distances in Å follow each position.
Atoms (fractional coordinates):
Tb 0.0000 0.4901 0.9342  4 Pd 2.99-3.01
Tb 0.0000 0.9901 0.0658  4 Pd 2.99-3.01
Tb 0.5000 0.6699 0.2181  3 Pd 2.86-2.95
Tb 0.5000 0.1699 0.7819  3 Pd 2.86-2.95
Tb 0.0000 0.3302 0.2854  3 Pd 2.87-2.89
Tb 0.0000 0.8302 0.7146  3 Pd 2.87-2.89
Tm 0.5000 0.5089 0.5630  4 Pd 2.98-2.99
Tm 0.5000 0.0089 0.4370  4 Pd 2.98-2.99
Pd 0.5000 0.7641 0.9283  7 Tb 2.87-3.01
Pd 0.5000 0.2641 0.0717  7 Tb 2.87-3.01
Pd 0.0000 0.2369 0.5695  3 Tb 2.86-2.89, 4 Tm 2.98-2.99
Pd 0.0000 0.7369 0.4305  3 Tb 2.86-2.89, 4 Tm 2.98-2.99

---

Record 4
Here is an optimized crystal structure of Tb2TmPd from Alexandria. Energies are from PBE.

## Properties
- formation enthalpy at 0 K (eV per atom) = -0.39
- SG = No. 123
- energy above the most stable polymorph in this dataset (eV/f.u.) = 0.32

Cell lengths 3.5884, 3.5884, 8.3125 Å; angles 90.00, 90.00, 90.00 degrees
Closest atoms and distances in Å follow each position.
Atoms (fractional coordinates):
Tm 0.5000 0.5000 0.5000  8 Tb 3.54, 4 Tm 3.59
Tb 0.0000 0.0000 0.7975  4 Pd 3.05, 1 Tb 3.37
Tb 0.0000 0.0000 0.2025  4 Pd 3.05, 1 Tb 3.37
Pd 0.5000 0.5000 0.0000  8 Tb 3.05